Crystalline CrNi2TeO6 at its relaxed geometry, computed with GGA+U.

Unit cell a=4.722 b=5.631 c=5.631 alpha=90.00 beta=90.00 gamma=90.00
Last column: magnetic moment on the atom in μB.
Atoms (fractional coordinates):
Cr: 0.631 0.500 0.500  2.40
Ni: 0.862 0.500 0.000  1.80
Ni: 0.862 0.000 0.500  1.80
Te: 0.605 0.000 0.000  0.00
O: 0.750 0.263 0.263  0.01
O: 0.750 0.263 0.737  0.01
O: 0.270 0.500 0.500  -0.19
O: 0.214 0.000 0.000  0.00
O: 0.750 0.737 0.737  0.01
O: 0.750 0.737 0.263  0.01

- Energy: -5.350 eV/atom